## Ta2InAs (PBE)

Data for a geometry-optimized Ta2InAs structure.

It has space group Cmmm (No. 65), with a = 6.046 Å, b = 7.037 Å, c = 3.449 Å, α = 90.00°, β = 90.00° and γ = 90.00°. The distinct sites, in fractional coordinates, are Ta at (0.250, 0.250, 0.000), In at (0.000, 0.000, 0.500) and As at (0.000, 0.500, 0.500).

As for the formation energy: 0.274 eV per atom. As for the polymorph energy (0 for the lowest one): 0.299 eV per atom. The value obtained for the total energy is -30.0 eV/f.u. Its spin magnetization is 0.00 μB/cell. The calculation puts the density at 12.49 g/cm³.